Dy2PAu | PBE | optimized geometry

The structure in CIF format:
```
data_Dy2PAu
_chemical_formula_sum 'Dy6 P3 Au3'
_space_group_name_H-M_alt 'R -3 m'
_space_group_IT_number 166
_space_group_name_Hall '-R 3 2"'
_cell_length_a 3.9976
_cell_length_b 3.9976
_cell_length_c 21.0766
_cell_angle_alpha 90.00
_cell_angle_beta 90.00
_cell_angle_gamma 120.00
loop_
_atom_site_label
_atom_site_type_symbol
_atom_site_fract_x
_atom_site_fract_y
_atom_site_fract_z
Dy1 Dy 0.0000 0.0000 0.2422
P1 P 0.0000 0.0000 0.5000
Au1 Au 0.0000 0.0000 0.0000
```

Magnetic moment   0.00 μB per formula unit
Calculated total energy   -5.59 eV per atom
Formation energy   -1121 meV/atom
DOS(E_F)   3.6 states/eV/f.u.

La2CeScP4 | PBE | optimized geometry

The structure in CIF format:
```
data_La2CeScP4
_chemical_formula_sum 'La2 Ce1 Sc1 P4'
_space_group_name_H-M_alt 'P 1 2/m 1'
_space_group_IT_number 10
_cell_length_a 7.0655
_cell_length_b 4.1077
_cell_length_c 7.1175
_cell_angle_alpha 90.00
_cell_angle_beta 109.38
_cell_angle_gamma 90.00
loop_
_space_group_symop_operation_xyz
'x,y,z'
'-x,-y,-z'
'-x,y,-z'
'x,-y,z'
loop_
_atom_site_label
_atom_site_type_symbol
_atom_site_fract_x
_atom_site_fract_y
_atom_site_fract_z
La1 La 0.0000 0.0000 0.0000
La2 La 0.5000 0.5000 0.0000
Ce1 Ce 0.0000 0.5000 0.5000
Sc1 Sc 0.5000 0.0000 0.5000
P1 P 0.2511 0.0000 0.7303
P2 P 0.2642 0.5000 0.2738
```

Magnetic moment   0.33 μB per formula unit
Calculated total energy   -6.96 eV per atom
Formation energy   -1492 meV/atom
DOS(E_F)   5.0 states/eV/f.u.

Ce6BiAs2Se3 | PBE | optimized geometry

The structure in CIF format:
```
data_Ce6BiAs2Se3
_chemical_formula_sum 'Ce12 Bi2 As4 Se6'
_space_group_name_H-M_alt 'C 1 2/m 1'
_space_group_IT_number 12
_cell_length_a 18.6152
_cell_length_b 4.2780
_cell_length_c 8.5758
_cell_angle_alpha 90.00
_cell_angle_beta 102.77
_cell_angle_gamma 90.00
loop_
_space_group_symop_operation_xyz
'x,y,z'
'-x,-y,-z'
'-x,y,-z'
'x,-y,z'
'x+1/2,y+1/2,z'
'-x+1/2,-y+1/2,-z'
'-x+1/2,y+1/2,-z'
'x+1/2,-y+1/2,z'
loop_
_atom_site_label
_atom_site_type_symbol
_atom_site_fract_x
_atom_site_fract_y
_atom_site_fract_z
Ce1 Ce 0.0033 0.0000 0.2690
Ce2 Ce 0.1678 0.5000 0.5797
Ce3 Ce 0.1738 0.5000 0.0922
Bi1 Bi 0.0000 0.5000 0.0000
As1 As 0.1680 0.0000 0.3343
Se1 Se 0.0000 0.5000 0.5000
Se2 Se 0.1634 0.0000 0.8317
```

Magnetic moment   5.69 μB per formula unit
Calculated total energy   -6.44 eV per atom
DOS(E_F)   37.0 states/eV/f.u.

AsPd2W | PBE | optimized geometry

The structure in CIF format:
```
data_AsPd2W
_chemical_formula_sum 'As4 Pd8 W4'
_space_group_name_H-M_alt 'I -4 2 d'
_space_group_IT_number 122
_space_group_name_Hall 'I -4 2bw'
_cell_length_a 3.7547
_cell_length_b 3.7547
_cell_length_c 18.9177
_cell_angle_alpha 90.00
_cell_angle_beta 90.00
_cell_angle_gamma 90.00
loop_
_atom_site_label
_atom_site_type_symbol
_atom_site_fract_x
_atom_site_fract_y
_atom_site_fract_z
As1 As 0.0000 0.0000 0.0000
Pd1 Pd 0.2492 0.2500 0.1250
W1 W 0.0000 0.0000 0.5000
```

Magnetic moment   0.00 μB per formula unit
Calculated total energy   -6.65 eV per atom
Formation energy   350 meV/atom
DOS(E_F)   4.3 states/eV/f.u.